[1]
La2CoSn | GGA-PBE | relaxed

## Properties
distance to the lowest polymorph of the same formula = 0.000 eV per atom
DOS(E_F) = 2.72 states/eV per cell

Lattice parameters (Å, degrees): 3.523 3.523 8.322 90.00 90.00 90.00
Fractional coordinates of all 4 atoms:
La: 0.000 0.000 0.207
La: 0.000 0.000 0.793
Co: 0.500 0.500 0.000
Sn: 0.500 0.500 0.500

---

[2]
La4CoSn2 | GGA-PBE | relaxed

## Properties
distance to the lowest polymorph of the same formula = 0.000 eV per atom
DOS(E_F) = 6.96 states/eV per cell

Lattice parameters (Å, degrees): 6.469 7.094 9.708 90.00 103.13 90.00
Fractional coordinates of all 14 atoms:
La: 0.203 0.250 0.087
La: 0.229 0.000 0.743
La: 0.229 0.500 0.743
La: 0.287 0.750 0.394
La: 0.713 0.250 0.606
La: 0.771 0.000 0.257
La: 0.771 0.500 0.257
La: 0.797 0.750 0.913
Co: 0.024 0.750 0.161
Co: 0.976 0.250 0.839
Sn: 0.196 0.250 0.437
Sn: 0.353 0.750 0.053
Sn: 0.647 0.250 0.947
Sn: 0.804 0.750 0.563

---

[3]
La4CoSn2 | GGA-PBE | relaxed

## Properties
distance to the lowest polymorph of the same formula = 0.019 eV per atom
DOS(E_F) = 10.28 states/eV per cell

Lattice parameters (Å, degrees): 5.046 5.046 17.591 90.00 90.00 90.00
Fractional coordinates of all 14 atoms:
La: 0.000 0.000 0.175
La: 0.000 0.000 0.825
La: 0.000 0.500 0.000
La: 0.000 0.500 0.500
La: 0.500 0.000 0.000
La: 0.500 0.000 0.500
La: 0.500 0.500 0.325
La: 0.500 0.500 0.675
Co: 0.000 0.000 0.000
Co: 0.500 0.500 0.500
Sn: 0.000 0.000 0.361
Sn: 0.000 0.000 0.639
Sn: 0.500 0.500 0.139
Sn: 0.500 0.500 0.861

---

[4]
La2CoSn6 | GGA-PBE | relaxed

## Properties
VASP energy = -43.73 eV/cell
DOS(E_F) = 8.02 states/eV per cell

Lattice parameters (Å, degrees): 8.983 8.983 4.180 90.00 90.00 131.20
Fractional coordinates of all 9 atoms:
La: 0.205 0.795 0.000
La: 0.795 0.205 0.000
Co: 0.500 0.500 0.500
Sn: 0.170 0.446 0.500
Sn: 0.271 0.271 0.000
Sn: 0.446 0.170 0.500
Sn: 0.554 0.830 0.500
Sn: 0.729 0.729 0.000
Sn: 0.830 0.554 0.500

---

[5]
SrLa2CoSn | GGA-PBE | relaxed

## Properties
distance to the lowest polymorph of the same formula = 0.046 eV per atom
DOS(E_F) = 5.67 states/eV per cell

Lattice parameters (Å, degrees): 5.383 5.383 5.248 90.00 90.00 90.00
Fractional coordinates of all 5 atoms:
Sr: 0.000 0.000 0.000
La: 0.000 0.500 0.500
La: 0.500 0.000 0.500
Co: 0.500 0.500 0.500
Sn: 0.500 0.500 0.000

---

[6]
SrLa2CoSn | GGA-PBE | relaxed

## Properties
distance to the lowest polymorph of the same formula = 0.000 eV per atom
DOS(E_F) = 2.91 states/eV per cell

Lattice parameters (Å, degrees): 5.240 5.240 5.612 90.00 90.00 90.00
Fractional coordinates of all 5 atoms:
Sr: 0.000 0.000 0.000
La: 0.000 0.500 0.500
La: 0.500 0.000 0.500
Co: 0.000 0.000 0.500
Sn: 0.500 0.500 0.000

---

no.,magnetic moment (μB per cell)
1,0.21
2,0.00
3,0.00
4,0.00
5,0.00
6,0.00